1.
Computed, not measured: crystalline KLiAlO at its relaxed geometry at the PBE level of DFT.

a b c (Å): 6.9853 3.4675 6.2697
angles (deg): 90.00 107.55 90.00
Last column: nearest neighbours and their distance in Å.
Atoms (fractional coordinates):
Li 0.5212 0.5000 0.3262  3 O 2.05-2.08
Li 0.5212 0.0000 0.8262  3 O 2.05-2.08
K 0.8562 0.5000 0.1097  3 O 2.85-2.95, 3 Li 3.02-3.04
K 0.8562 0.0000 0.6097  3 O 2.85-2.95, 3 Li 3.02-3.04
Al 0.2746 0.5000 0.5702  1 O 1.84
Al 0.2746 0.0000 0.0702  1 O 1.84
O 0.5512 0.0000 0.1660  1 Al 1.84, 2 Li 2.05
O 0.5512 0.5000 0.6660  1 Al 1.84, 2 Li 2.05

Properties
The total energy comes out at -3.904 eV per atom. The excess energy over the best structure of this formula in the dataset is 52 meV/atom.

=====

2.
Computed, not measured: crystalline KLiAlO at its relaxed geometry at the PBE level of DFT.

a b c (Å): 2.9288 3.4455 16.2094
angles (deg): 90.00 90.00 90.00
Last column: nearest neighbours and their distance in Å.
Atoms (fractional coordinates):
O 0.5000 0.5000 0.2378  2 Al 1.86
O 0.5000 0.0000 0.7378  2 Al 1.86
Al 0.0000 0.0000 0.6671  2 O 1.86
Al 0.0000 0.5000 0.1671  2 O 1.86
K 0.0000 0.0000 0.3360  4 O 2.77, 2 K 2.93
K 0.0000 0.5000 0.8360  4 O 2.77, 2 K 2.93
Li 0.5000 0.5000 0.5523  4 Al 2.93, 2 Li 2.93
Li 0.5000 0.0000 0.0523  4 Al 2.93, 2 Li 2.93

Properties
The total energy comes out at -3.926 eV per atom. The excess energy over the best structure of this formula in the dataset is 30 meV/atom.

=====

3.
Computed, not measured: crystalline KLiAlO at its relaxed geometry at the PBE level of DFT.

a b c (Å): 3.9018 3.9018 10.5692
angles (deg): 90.00 90.00 90.00
Last column: nearest neighbours and their distance in Å.
Atoms (fractional coordinates):
Al 0.0000 0.0000 0.7155  1 O 1.74
Al 0.5000 0.5000 0.2155  1 O 1.74
K 0.5000 0.5000 0.8979  4 O 2.77
K 0.0000 0.0000 0.3979  4 O 2.77
O 0.5000 0.5000 0.3801  1 Al 1.74, 1 Li 1.88
O 0.0000 0.0000 0.8801  1 Al 1.74, 1 Li 1.88
Li 0.0000 0.0000 0.0582  1 O 1.88
Li 0.5000 0.5000 0.5582  1 O 1.88

Properties
The total energy comes out at -3.956 eV per atom. The excess energy over the best structure of this formula in the dataset is 0 meV/atom.

=====

4.
Computed, not measured: crystalline KLiAlO at its relaxed geometry at the PBE level of DFT.

a b c (Å): 4.0787 3.1952 12.2067
angles (deg): 90.00 90.00 90.00
Last column: nearest neighbours and their distance in Å.
Atoms (fractional coordinates):
Li 0.0000 0.5000 0.9310  2 O 2.05
Li 0.5000 0.0000 0.4310  2 O 2.05
O 0.5000 0.5000 0.9513  2 Al 1.93, 2 Li 2.05
O 0.0000 0.0000 0.4513  2 Al 1.93, 2 Li 2.05
Al 0.0000 0.5000 0.3625  2 O 1.93
Al 0.5000 0.0000 0.8625  2 O 1.93
K 0.0000 0.5000 0.6484  2 O 2.89, 2 K 3.20
K 0.5000 0.0000 0.1484  2 O 2.89, 2 K 3.20

Properties
The total energy comes out at -3.930 eV per atom. The excess energy over the best structure of this formula in the dataset is 27 meV/atom.

=====

5.
Computed, not measured: crystalline KLiAlP2 at its relaxed geometry at the PBE level of DFT.

a b c (Å): 5.5025 5.5608 5.5025
angles (deg): 90.00 90.00 90.00
Last column: nearest neighbours and their distance in Å.
Atoms (fractional coordinates):
Li 0.5000 0.5000 0.5000  4 Al 3.89, 8 P 3.91
P 0.0000 0.0000 0.5000  2 K 2.75
P 0.5000 0.0000 0.0000  2 K 2.75
Al 0.0000 0.5000 0.0000  2 K 2.78
K 0.0000 0.0000 0.0000  4 P 2.75, 2 Al 2.78

Properties
The formation energy comes out at 1.3600 eV per atom. The total energy comes out at -2.155 eV per atom.

=====

6.
Computed, not measured: crystalline K2LiAlP2 at its relaxed geometry at the PBE level of DFT.

a b c (Å): 8.6099 8.6099 8.6099
angles (deg): 138.34 138.08 60.58
Last column: nearest neighbours and their distance in Å.
Atoms (fractional coordinates):
Al 0.0000 0.7500 0.7500  4 P 2.44
Al 0.0000 0.2500 0.2500  4 P 2.44
K 0.4466 0.1734 0.2732  5 P 3.30-3.54, 2 Li 3.31, 2 Al 3.44
K 0.9001 0.6734 0.2268  5 P 3.30-3.54, 2 Li 3.31, 2 Al 3.44
K 0.0999 0.3266 0.7732  5 P 3.30-3.54, 2 Li 3.31, 2 Al 3.44
K 0.5534 0.8266 0.7268  5 P 3.30-3.54, 2 Li 3.31, 2 Al 3.44
P 0.3097 0.5884 0.7213  2 Al 2.44, 2 Li 2.65
P 0.6903 0.4116 0.2787  2 Al 2.44, 2 Li 2.65
P 0.1329 0.9116 0.2213  2 Al 2.44, 2 Li 2.65
P 0.8671 0.0884 0.7787  2 Al 2.44, 2 Li 2.65
Li 0.5000 0.2500 0.7500  4 P 2.65
Li 0.5000 0.7500 0.2500  4 P 2.65

Properties
The formation energy comes out at -0.6460 eV per atom. The total energy comes out at -3.758 eV per atom.

=====

7.
Computed, not measured: crystalline KLi2AlPt at its relaxed geometry at the PBE level of DFT.

a b c (Å): 5.0840 5.0840 4.7747
angles (deg): 90.00 90.00 90.00
Last column: nearest neighbours and their distance in Å.
Atoms (fractional coordinates):
Al 0.0000 0.0000 0.5000  2 Pt 2.39
K 0.5000 0.5000 0.5000  8 Li 3.49, 4 Al 3.59
Li 0.5000 0.0000 0.0000  2 Pt 2.54
Li 0.0000 0.5000 0.0000  2 Pt 2.54
Pt 0.0000 0.0000 0.0000  2 Al 2.39, 4 Li 2.54

Properties
The formation energy comes out at -0.3001 eV per atom. The total energy comes out at -3.242 eV per atom.

=====

8.
Computed, not measured: crystalline KLiAl2S4 at its relaxed geometry at the PBE level of DFT.

a b c (Å): 5.3461 5.3461 7.6269
angles (deg): 110.51 110.51 90.01
Last column: nearest neighbours and their distance in Å.
Atoms (fractional coordinates):
S 0.4283 0.8756 0.3040  2 Al 2.30
S 0.8756 0.4283 0.3040  2 Al 2.30
S 0.5717 0.5717 0.6962  2 Al 2.30
S 0.1245 0.1245 0.6962  2 Al 2.30
Al 0.7500 0.2500 0.5000  4 S 2.30
Al 0.2500 0.7500 0.5000  4 S 2.30
K 0.0000 0.0000 0.0001  4 S 2.90
Li 0.5001 0.5001 0.0001  4 S 2.63

Properties
The total energy comes out at -4.506 eV per atom.